[1]
DFT (PBE) results for a relaxed TbCO4 crystal.

Cell and atoms, written as POSCAR:
```
TbCO4
1.0
9.723 0.000 0.000
0.000 12.117 0.000
0.000 -6.059 10.494
O C Tb
72 18 18
Direct
0.696 0.006 0.672
0.383 0.086 0.499
0.245 0.667 0.333
0.617 0.756 0.829
0.750 0.000 0.000
0.000 0.853 0.431
0.000 0.578 0.147
0.617 0.171 0.927
0.500 0.909 0.093
0.884 0.762 0.915
0.116 0.842 0.583
0.617 0.501 0.587
0.116 0.409 0.512
0.383 0.501 0.587
0.116 0.762 0.915
0.500 0.636 0.157
0.884 0.085 0.847
0.884 0.409 0.512
0.884 0.842 0.583
0.884 0.103 0.591
0.255 0.333 0.667
0.250 0.000 0.000
0.000 0.969 0.142
0.195 0.340 0.008
0.805 0.340 0.008
0.304 0.006 0.672
0.304 0.328 0.334
0.116 0.103 0.591
0.383 0.756 0.829
0.000 0.182 0.487
0.616 0.819 0.253
0.116 0.153 0.238
0.000 0.305 0.818
0.500 0.239 0.491
0.884 0.417 0.259
0.384 0.819 0.253
0.383 0.073 0.244
0.116 0.085 0.847
0.696 0.328 0.334
0.884 0.153 0.238
0.805 0.992 0.332
0.617 0.073 0.244
0.755 0.667 0.333
0.616 0.747 0.567
0.000 0.513 0.695
0.116 0.417 0.259
0.500 0.184 0.091
0.383 0.171 0.927
0.000 0.173 0.031
0.617 0.086 0.499
0.000 0.858 0.827
0.745 0.333 0.667
0.500 0.251 0.761
0.696 0.666 0.994
0.616 0.433 0.181
0.500 0.522 0.364
0.116 0.488 0.897
0.383 0.413 0.914
0.500 0.509 0.749
0.500 0.843 0.478
0.884 0.488 0.897
0.384 0.433 0.181
0.000 0.569 0.422
0.116 0.741 0.158
0.195 0.992 0.332
0.195 0.668 0.660
0.304 0.666 0.994
0.617 0.413 0.914
0.884 0.741 0.158
0.805 0.668 0.660
0.500 0.907 0.816
0.384 0.747 0.567
0.000 0.092 0.206
0.000 0.794 0.886
0.500 0.022 0.195
0.500 0.136 0.498
0.500 0.759 0.221
0.500 0.805 0.826
0.000 0.689 0.155
0.000 0.443 0.572
0.500 0.174 0.978
0.500 0.502 0.638
0.000 0.428 0.871
0.000 0.467 0.311
0.000 0.129 0.557
0.500 0.462 0.241
0.500 0.362 0.864
0.000 0.845 0.533
0.500 0.779 0.538
0.000 0.114 0.908
0.260 0.549 0.446
0.740 0.554 0.103
0.757 0.887 0.770
0.245 0.222 0.786
0.755 0.222 0.786
0.243 0.230 0.117
0.245 0.214 0.436
0.740 0.897 0.451
0.260 0.554 0.103
0.755 0.564 0.778
0.755 0.214 0.436
0.243 0.883 0.113
0.757 0.883 0.113
0.740 0.549 0.446
0.243 0.887 0.770
0.260 0.897 0.451
0.757 0.230 0.117
0.245 0.564 0.778
```

- E: -7.679 eV/atom
- SG: P-6 (174)
- E_form (uncorrected): -2.06 eV per atom
- DOS at the Fermi energy: 19.97 states/eV/cell


[2]
DFT (PBE) results for a relaxed TbCO4 crystal.

Cell and atoms, written as POSCAR:
```
TbCO4
1.0
-2.688 -0.382 3.644
3.645 -5.097 1.197
4.257 3.877 3.547
O Tb C
8 2 2
Direct
0.460 0.361 0.250
0.540 0.639 0.750
0.118 0.021 0.750
0.970 0.683 0.088
0.882 0.979 0.250
0.030 0.317 0.588
0.030 0.317 0.912
0.970 0.683 0.412
0.960 0.334 0.250
0.040 0.666 0.750
0.060 0.209 0.750
0.940 0.791 0.250
```

- E: -7.632 eV/atom
- SG: P2_1/m (11)
- E_form (uncorrected): -2.02 eV per atom
- DOS at the Fermi energy: 1.19 states/eV/cell


[3]
DFT (PBE) results for a relaxed Tb8C4O crystal.

Cell and atoms, written as POSCAR:
```
Tb8C4O
1.0
-4.614 4.331 3.652
-6.369 1.924 -3.020
-6.255 -2.713 2.625
C Tb O
4 8 1
Direct
0.374 0.879 0.374
0.879 0.374 0.374
0.374 0.374 0.374
0.374 0.374 0.879
0.135 0.135 0.135
0.619 0.619 0.619
0.595 0.135 0.135
0.135 0.595 0.135
0.135 0.135 0.595
0.142 0.619 0.619
0.619 0.142 0.619
0.619 0.619 0.142
0.750 0.750 0.750
```

- E: -6.706 eV/atom
- SG: F-43m (216)
- E_form (uncorrected): -0.64 eV per atom
- DOS at the Fermi energy: 8.50 states/eV/cell


[4]
DFT (PBE) results for a relaxed TbCO4 crystal.

Cell and atoms, written as POSCAR:
```
TbCO4
1.0
-3.868 0.290 0.286
-0.282 -5.364 1.623
0.947 2.602 8.765
O C Tb
8 2 2
Direct
0.833 0.250 0.994
0.747 0.547 0.389
0.253 0.047 0.611
0.219 0.250 0.193
0.253 0.453 0.611
0.167 0.750 0.006
0.747 0.953 0.389
0.781 0.750 0.807
0.976 0.750 0.905
0.024 0.250 0.095
0.751 0.250 0.554
0.249 0.750 0.446
```

- E: -7.450 eV/atom
- SG: P2_1/m (11)
- E_form (uncorrected): -1.84 eV per atom
- DOS at the Fermi energy: 0.20 states/eV/cell


[5]
DFT (PBE) results for a relaxed Tb8C3O crystal.

Cell and atoms, written as POSCAR:
```
Tb8C3O
1.0
-0.684 -3.737 6.062
5.741 -0.963 -4.167
-0.654 6.275 3.794
Tb C O
8 3 1
Direct
0.757 0.515 0.777
0.242 0.980 0.223
0.262 0.020 0.777
0.742 0.485 0.227
0.738 0.980 0.223
0.258 0.515 0.773
0.758 0.020 0.777
0.243 0.485 0.223
0.000 0.500 0.000
0.500 0.000 0.000
0.500 0.500 0.000
0.000 0.000 0.000
```

- E: -6.481 eV/atom
- SG: R-3m (166)
- E_form (uncorrected): -0.68 eV per atom
- DOS at the Fermi energy: 8.39 states/eV/cell


[6]
DFT (PBE) results for a relaxed TbCO3 crystal.

Cell and atoms, written as POSCAR:
```
TbCO3
1.0
4.901 0.000 0.000
0.000 5.350 0.005
0.000 0.025 8.035
O Tb C
12 4 4
Direct
0.014 0.108 0.176
0.517 0.422 0.673
0.250 0.572 0.081
0.983 0.422 0.673
0.483 0.578 0.327
0.514 0.892 0.824
0.250 0.125 0.425
0.486 0.108 0.176
0.750 0.428 0.919
0.017 0.578 0.327
0.986 0.892 0.824
0.750 0.875 0.575
0.750 0.758 0.101
0.750 0.251 0.434
0.250 0.749 0.566
0.250 0.242 0.899
0.250 0.487 0.244
0.750 0.513 0.756
0.750 0.810 0.747
0.250 0.190 0.253
```

- E: -8.089 eV/atom
- SG: P2_1/m (11)
- E_form (uncorrected): -2.34 eV per atom
- DOS at the Fermi energy: 0.00 states/eV/cell


[7]
DFT (PBE) results for a relaxed Tb3TeCO crystal.

Cell and atoms, written as POSCAR:
```
Tb3TeCO
1.0
3.871 0.000 0.000
0.000 8.272 -0.131
0.000 -2.327 8.411
O Tb C Te
2 6 2 2
Direct
0.750 0.912 0.403
0.250 0.088 0.597
0.250 0.543 0.856
0.750 0.864 0.140
0.750 0.457 0.144
0.250 0.136 0.860
0.750 0.193 0.546
0.250 0.807 0.454
0.250 0.667 0.144
0.750 0.333 0.856
0.250 0.196 0.236
0.750 0.804 0.764
```

- E: -6.773 eV/atom
- SG: P2_1/m (11)
- E_form (uncorrected): -1.57 eV per atom
- DOS at the Fermi energy: 3.89 states/eV/cell


[8]
DFT (PBE) results for a relaxed TbThCO crystal.

Cell and atoms, written as POSCAR:
```
TbThCO
1.0
3.651 0.000 0.000
1.826 3.162 0.000
1.826 1.054 5.847
Th C O Tb
1 1 1 1
Direct
0.692 0.692 0.925
0.944 0.944 0.169
0.445 0.445 0.664
0.195 0.195 0.414
```

- E: -8.205 eV/atom
- SG: R3m (160)
- E_form (uncorrected): -1.65 eV per atom
- DOS at the Fermi energy: 1.61 states/eV/cell


[9]
DFT (PBE) results for a relaxed TbTl2C2O6 crystal.

Cell and atoms, written as POSCAR:
```
TbTl2C2O6
1.0
-2.879 -2.646 -3.686
-0.829 -0.967 5.259
-3.689 7.078 -2.200
C Tl O Tb
2 2 6 1
Direct
0.107 0.213 0.325
0.893 0.787 0.675
0.323 0.645 0.963
0.677 0.355 0.037
0.755 0.926 0.678
0.245 0.074 0.322
0.828 0.074 0.322
0.172 0.926 0.678
0.244 0.488 0.323
0.756 0.512 0.677
0.500 0.000 0.500
```

- E: -6.897 eV/atom
- SG: C2/m (12)
- E_form (uncorrected): -1.66 eV per atom
- DOS at the Fermi energy: 1.60 states/eV/cell


[10]
DFT (PBE) results for a relaxed TbYCO crystal.

Cell and atoms, written as POSCAR:
```
TbYCO
1.0
3.180 0.000 0.000
0.000 3.263 0.000
-1.590 -1.631 6.021
Y Tb O C
1 1 1 1
Direct
0.077 0.077 0.154
0.823 0.323 0.646
0.411 0.911 0.821
0.669 0.669 0.338
```

- E: -7.530 eV/atom
- SG: Imm2 (44)
- E_form (uncorrected): -1.21 eV per atom
- DOS at the Fermi energy: 0.98 states/eV/cell


[11]
DFT (PBE) results for a relaxed TcC3O crystal.

Cell and atoms, written as POSCAR:
```
TcC3O
1.0
4.003 0.000 0.000
0.000 4.003 0.000
0.000 0.000 4.003
O C Tc
1 3 1
Direct
0.500 0.500 0.500
0.000 0.500 0.000
0.500 0.000 0.000
0.000 0.000 0.500
0.000 0.000 0.000
```

- E: -6.287 eV/atom
- SG: Pm-3m (221)
- E_form (uncorrected): 2.31 eV per atom
- DOS at the Fermi energy: 3.93 states/eV/cell


[12]
DFT (PBE) results for a relaxed TcC3O crystal.

Cell and atoms, written as POSCAR:
```
TcC3O
1.0
3.485 0.000 0.000
0.000 3.485 0.000
0.000 0.000 3.485
O C Tc
1 3 1
Direct
0.000 0.000 0.000
0.000 0.500 0.000
0.000 0.000 0.500
0.500 0.000 0.000
0.500 0.500 0.500
```

- E: -5.889 eV/atom
- SG: Pm-3m (221)
- E_form (uncorrected): 2.71 eV per atom
- DOS at the Fermi energy: 6.28 states/eV/cell